Density functional theory data (PBE) for a relaxed Ac12Ni2Sn5 crystal.

Unit cell a=18.791 b=8.177 c=10.460 alpha=90.00 beta=105.73 gamma=90.00
Space group C2/m (No. 12)
Inequivalent atoms, fractional coordinates:
1 Ac 0.001 0.000 0.251 (multiplicity 4)
2 Ac 0.002 0.500 0.826 (multiplicity 4)
3 Ac 0.151 0.257 0.578 (multiplicity 8)
4 Ac 0.154 0.240 0.076 (multiplicity 8)
5 Ni 0.000 0.163 0.000 (multiplicity 4)
6 Sn 0.000 0.500 0.500 (multiplicity 2)
7 Sn 0.193 0.000 0.835 (multiplicity 4)
8 Sn 0.195 0.000 0.359 (multiplicity 4)

Calculated volume in Å³ per cell: 1547
Total magnetization in μB/f.u.: 0.5
ΔE_f in meV per atom: -338